Version i
Below is crystalline Tl2CoRe at its relaxed geometry, with properties calculated at the GGA-PBE level.

a = 4.6383 Å, b = 4.6383 Å, c = 3.3036 Å
α = 90.00°, β = 90.00°, γ = 90.06°
Fractional coordinates of all 4 atoms:
Co 0.5000 0.0000 0.5000
Tl 0.5000 0.5000 0.0000
Tl 0.0000 0.0000 0.0000
Re 0.0000 0.5000 0.5000

Computed properties:
M_tot in μB/atom: 0.25

=====

Version ii
Below is crystalline Tl2CoRe at its relaxed geometry, with properties calculated at the GGA-PBE level.

a = 4.6527 Å, b = 4.6527 Å, c = 4.6527 Å
α = 60.00°, β = 60.00°, γ = 60.00°
Fractional coordinates of all 4 atoms:
Co 0.0000 0.0000 0.0000
Re 0.5000 0.5000 0.5000
Tl 0.7500 0.7500 0.7500
Tl 0.2500 0.2500 0.2500

Computed properties:
M_tot in μB/atom: 0.18

=====

Which structure loses on stability? version ii does.